Below is a relaxed structure of Ce3Mg7Rh4, with properties calculated at the PBE level.

Geometry as CIF:
```
data_Ce3Mg7Rh4
_space_group_name_H-M_alt 'C 1 2/m 1'
_space_group_IT_number 12
_cell_length_a 16.377
_cell_length_b 3.926
_cell_length_c 10.889
_cell_angle_alpha 90.00
_cell_angle_beta 122.35
_cell_angle_gamma 90.00
loop_
_space_group_symop_operation_xyz
'x,y,z'
'-x,-y,-z'
'-x,y,-z'
'x,-y,z'
'x+1/2,y+1/2,z'
'-x+1/2,-y+1/2,-z'
'-x+1/2,y+1/2,-z'
'x+1/2,-y+1/2,z'
loop_
_atom_site_label
_atom_site_type_symbol
_atom_site_fract_x
_atom_site_fract_y
_atom_site_fract_z
Ce1 Ce 0.000 0.000 0.000
Ce2 Ce 0.206 0.500 0.725
Mg1 Mg 0.000 0.000 0.500
Mg2 Mg 0.013 0.500 0.287
Mg3 Mg 0.171 0.000 0.436
Mg4 Mg 0.175 0.500 0.000
Rh1 Rh 0.119 0.000 0.796
Rh2 Rh 0.165 0.500 0.248
```

Calculated values
As for the crystal system: monoclinic. For the calculated formation energy, the calculation gives -0.449 eV/atom.

---

Below is a relaxed structure of Ce2Mg2Rh5, with properties calculated at the PBE level.

Geometry as CIF:
```
data_Ce2Mg2Rh5
_space_group_name_H-M_alt 'I m a 2'
_space_group_IT_number 46
_cell_length_a 15.763
_cell_length_b 7.027
_cell_length_c 5.980
_cell_angle_alpha 90.00
_cell_angle_beta 90.00
_cell_angle_gamma 90.00
loop_
_space_group_symop_operation_xyz
'x,y,z'
'-x,-y,z'
'-x+1/2,y,z'
'x+1/2,-y,z'
'x+1/2,y+1/2,z+1/2'
'-x+1/2,-y+1/2,z+1/2'
'-x,y+1/2,z+1/2'
'x,-y+1/2,z+1/2'
loop_
_atom_site_label
_atom_site_type_symbol
_atom_site_fract_x
_atom_site_fract_y
_atom_site_fract_z
Ce1 Ce 0.000 0.000 0.000
Ce2 Ce 0.250 0.051 0.913
Mg1 Mg 0.082 0.551 0.002
Rh1 Rh 0.104 0.230 0.212
Rh2 Rh 0.163 0.682 0.661
Rh3 Rh 0.250 0.030 0.478
```

Calculated values
As for the crystal system: orthorhombic. For the calculated formation energy, the calculation gives -0.483 eV/atom.

---

Below is a relaxed structure of Ce3MgRh4, with properties calculated at the PBE level.

Geometry as CIF:
```
data_Ce3MgRh4
_space_group_name_H-M_alt 'C 1 2/m 1'
_space_group_IT_number 12
_cell_length_a 14.339
_cell_length_b 4.793
_cell_length_c 4.839
_cell_angle_alpha 90.00
_cell_angle_beta 108.35
_cell_angle_gamma 90.00
loop_
_space_group_symop_operation_xyz
'x,y,z'
'-x,-y,-z'
'-x,y,-z'
'x,-y,z'
'x+1/2,y+1/2,z'
'-x+1/2,-y+1/2,-z'
'-x+1/2,y+1/2,-z'
'x+1/2,-y+1/2,z'
loop_
_atom_site_label
_atom_site_type_symbol
_atom_site_fract_x
_atom_site_fract_y
_atom_site_fract_z
Ce1 Ce 0.000 0.000 0.000
Ce2 Ce 0.246 0.500 0.762
Mg1 Mg 0.000 0.500 0.500
Rh1 Rh 0.120 0.000 0.573
Rh2 Rh 0.123 0.500 0.142
```

Calculated values
As for the crystal system: monoclinic. For the calculated formation energy, the calculation gives -0.662 eV/atom.

---

Below is a relaxed structure of CeMgRh, with properties calculated at the PBE level.

Geometry as CIF:
```
data_CeMgRh
_space_group_name_H-M_alt 'I 4 m m'
_space_group_IT_number 107
_space_group_name_Hall 'I 4 -2'
_cell_length_a 3.259
_cell_length_b 3.259
_cell_length_c 12.063
_cell_angle_alpha 90.00
_cell_angle_beta 90.00
_cell_angle_gamma 90.00
loop_
_atom_site_label
_atom_site_type_symbol
_atom_site_fract_x
_atom_site_fract_y
_atom_site_fract_z
Ce1 Ce 0.000 0.000 0.000
Mg1 Mg 0.000 0.000 0.275
Rh1 Rh 0.000 0.000 0.645
```

Calculated values
As for the crystal system: tetragonal. For the calculated formation energy, the calculation gives -0.433 eV/atom.